Compound: PPdRuN
Source: Alexandria via LeMat-Bulk
Functional: GGA-PBE
Structure: relaxed

Cell: 4.1648 2.8165 5.0492 Å, 90.00 91.16 90.00°
Space group Pm (No. 6)
Symmetry-distinct sites (fractional):
P: 0.0000 0.0000 0.0000 [1 per cell]
Pd: 0.1435 0.0000 0.4373 [1 per cell]
Ru: 0.6736 0.5000 0.7412 [1 per cell]
N: 0.3417 0.0000 0.8167 [1 per cell]

Values from the calculation:
N(E_F): 1.44 states/eV/f.u.
final energy: -27.9 eV for the cell shown
ΔE to the lowest computed polymorph: 0.0 meV per atom
ΔE_f (raw): 0.066 eV/atom
M_tot: 0.000 μB per atom

=====

Compound: Y2HoSi2
Source: Alexandria via LeMat-Bulk
Functional: GGA-PBE
Structure: relaxed

Cell: 7.4756 7.4756 4.2253 Å, 90.00 90.00 90.00°
Space group P4/mbm (No. 127)
Symmetry-distinct sites (fractional):
Y: 0.1759 0.3241 0.0000 [4 per cell]
Ho: 0.0000 0.0000 0.5000 [2 per cell]
Si: 0.1168 0.6168 0.5000 [4 per cell]

Values from the calculation:
N(E_F): 4.22 states/eV/f.u.
final energy: -63.9 eV for the cell shown
ΔE to the lowest computed polymorph: 0.0 meV per atom
ΔE_f (raw): -0.722 eV/atom
M_tot: 0.000 μB per atom

=====

> Look up the N(E_F) of the second one.

4.22 states/eV/f.u.

=====

> Which value of N(E_F) does entry 2 give?

4.22 states/eV/f.u.

=====

> Among the records above, which one has the highest final energy?

PPdRuN